# 1
First-principles (PBE-GGA) data for a relaxed TlSn4Hg crystal, as listed in Alexandria.

Cell: 5.4228 7.0684 7.0684 Å, 136.89 95.31 95.31°
Closest atoms and distances in Å follow each position.
Atoms (fractional coordinates):
Hg  0.5000  0.0000  0.5000  4 Sn 3.10, 2 Tl 3.25
Sn  0.7421  0.5912  0.4544  1 Hg 3.10, 6 Sn 3.14-3.38, 1 Tl 3.26
Sn  0.2579  0.4088  0.5456  1 Hg 3.10, 6 Sn 3.14-3.38, 1 Tl 3.26
Sn  0.7421  0.9544  0.0912  1 Hg 3.10, 6 Sn 3.14-3.38, 1 Tl 3.26
Sn  0.2579  0.0456  0.9088  1 Hg 3.10, 6 Sn 3.14-3.38, 1 Tl 3.26
Tl  0.0000  0.5000  0.0000  2 Hg 3.25, 4 Sn 3.26

Magnetic moment: 0.0 μB per formula unit



# 2
First-principles (PBE-GGA) data for a relaxed YTlSnHg crystal, as listed in Alexandria.

Cell: 5.3830 5.3830 5.3830 Å, 60.00 60.00 60.00°
Closest atoms and distances in Å follow each position.
Atoms (fractional coordinates):
Tl  0.2500  0.2500  0.2500  4 Hg 3.30, 4 Sn 3.30
Sn  0.0000  0.0000  0.0000  4 Tl 3.30, 4 Y 3.30
Y  0.7500  0.7500  0.7500  4 Hg 3.30, 4 Sn 3.30
Hg  0.5000  0.5000  0.5000  4 Y 3.30, 4 Tl 3.30

Magnetic moment: 0.0 μB per formula unit



# 3
First-principles (PBE-GGA) data for a relaxed TlZnSnHg2 crystal, as listed in Alexandria.

Cell: 5.2690 5.2690 5.2796 Å, 90.00 90.00 90.00°
Closest atoms and distances in Å follow each position.
Atoms (fractional coordinates):
Sn  0.0000  0.0000  0.5000  2 Zn 2.64
Tl  0.5000  0.5000  0.5000  4 Sn 3.73, 8 Hg 3.73
Zn  0.0000  0.0000  0.0000  4 Hg 2.63, 2 Sn 2.64
Hg  0.0000  0.5000  0.0000  2 Zn 2.63
Hg  0.5000  0.0000  0.0000  2 Zn 2.63

Magnetic moment: 0.0 μB per formula unit



Number 1: energy of formation from the pure elements 0.072 eV/atom. Number 2: energy of formation from the pure elements -0.202 eV/atom. Number 3: energy of formation from the pure elements 0.171 eV/atom.